1.
TaBe2Ru: optimized geometry, PBE-GGA.

Summary:
ΔE_f = -0.09 eV/atom
Distance to the lowest polymorph of the same formula = 228 meV per atom
SG = C2/m (12)
Total DFT energy (no corrections) = -7.231 eV/atom

a b c (Å): 7.6045 3.1423 4.5780
angles (deg): 90.00 112.76 90.00
Atoms (fractional coordinates):
Ta 0.0000 0.0000 0.0000
Ta 0.5000 0.5000 0.0000
Be 0.2350 0.0000 0.6522
Be 0.2650 0.5000 0.3478
Be 0.7350 0.5000 0.6522
Be 0.7650 0.0000 0.3478
Ru 0.0000 0.5000 0.5000
Ru 0.5000 0.0000 0.5000

2.
TaBeRu2: optimized geometry, PBE-GGA.

Summary:
ΔE_f = -0.40 eV/atom
SG = P4/mmm (123)
Total DFT energy (no corrections) = -8.932 eV/atom

a b c (Å): 3.0697 3.0697 5.8181
angles (deg): 90.00 90.00 90.00
Atoms (fractional coordinates):
Ta 0.0000 0.0000 0.0000
Be 0.0000 0.0000 0.5000
Ru 0.5000 0.5000 0.2717
Ru 0.5000 0.5000 0.7283

3.
TaBeRu2: optimized geometry, PBE-GGA.

Summary:
ΔE_f = -0.19 eV/atom
SG = Immm (71)
Total DFT energy (no corrections) = -8.722 eV/atom

a b c (Å): 3.0894 4.6098 7.7264
angles (deg): 90.00 90.00 90.00
Atoms (fractional coordinates):
Ta 0.0000 0.0000 0.0000
Ta 0.5000 0.5000 0.5000
Be 0.0000 0.0000 0.5000
Be 0.5000 0.5000 0.0000
Ru 0.0000 0.5000 0.2237
Ru 0.0000 0.5000 0.7763
Ru 0.5000 0.0000 0.2763
Ru 0.5000 0.0000 0.7237

4.
TaBe2Ru: optimized geometry, PBE-GGA.

Summary:
ΔE_f = -0.07 eV/atom
Distance to the lowest polymorph of the same formula = 249 meV per atom
SG = P4mm (99)
Total DFT energy (no corrections) = -7.211 eV/atom

a b c (Å): 2.9732 2.9732 5.7358
angles (deg): 90.00 90.00 90.00
Atoms (fractional coordinates):
Ta 0.0000 0.0000 0.0000
Be 0.0000 0.0000 0.4988
Be 0.5000 0.5000 0.3014
Ru 0.5000 0.5000 0.7197

5.
TaBeRu2: optimized geometry, PBE-GGA.

Summary:
ΔE_f = -0.21 eV/atom
SG = Cm (8)
Total DFT energy (no corrections) = -8.743 eV/atom

a b c (Å): 9.5319 3.1188 4.0933
angles (deg): 90.00 115.13 90.00
Atoms (fractional coordinates):
Ta 0.0000 0.0000 0.0000
Ta 0.5000 0.5000 0.0000
Be 0.2573 0.5000 0.2640
Be 0.7573 0.0000 0.2640
Ru 0.2439 0.0000 0.7495
Ru 0.4841 0.0000 0.4835
Ru 0.7439 0.5000 0.7495
Ru 0.9841 0.5000 0.4835

6.
TaBe4Ru: optimized geometry, PBE-GGA.

Summary:
ΔE_f = -0.43 eV/atom
SG = F-43m (216)
Total DFT energy (no corrections) = -6.431 eV/atom

a b c (Å): 4.4508 4.4508 4.4508
angles (deg): 60.00 60.00 60.00
Atoms (fractional coordinates):
Ta 0.0000 0.0000 0.0000
Be 0.1228 0.6257 0.6257
Be 0.6257 0.1228 0.6257
Be 0.6257 0.6257 0.1228
Be 0.6257 0.6257 0.6257
Ru 0.2500 0.2500 0.2500

7.
TaBe2Ru: optimized geometry, PBE-GGA.

Summary:
ΔE_f = 0.21 eV/atom
Distance to the lowest polymorph of the same formula = 523 meV per atom
SG = R-3m (166)
Total DFT energy (no corrections) = -6.937 eV/atom

a b c (Å): 2.7433 2.7433 24.2325
angles (deg): 90.00 90.00 120.00
Atoms (fractional coordinates):
Ta 0.0000 0.0000 0.0000
Ta 0.3333 0.6667 0.6667
Ta 0.6667 0.3333 0.3333
Be 0.0000 0.0000 0.2405
Be 0.0000 0.0000 0.7595
Be 0.3333 0.6667 0.4261
Be 0.3333 0.6667 0.9072
Be 0.6667 0.3333 0.0928
Be 0.6667 0.3333 0.5739
Ru 0.0000 0.0000 0.5000
Ru 0.3333 0.6667 0.1667
Ru 0.6667 0.3333 0.8333

8.
TaBeRu2: optimized geometry, PBE-GGA.

Summary:
ΔE_f = 0.16 eV/atom
SG = F-43m (216)
Total DFT energy (no corrections) = -8.373 eV/atom

a b c (Å): 6.0868 6.0868 6.0868
angles (deg): 90.00 90.00 90.00
Atoms (fractional coordinates):
Ta 0.0000 0.0000 0.0000
Ta 0.0000 0.5000 0.5000
Ta 0.5000 0.0000 0.5000
Ta 0.5000 0.5000 0.0000
Be 0.2500 0.2500 0.2500
Be 0.2500 0.7500 0.7500
Be 0.7500 0.2500 0.7500
Be 0.7500 0.7500 0.2500
Ru 0.0000 0.0000 0.5000
Ru 0.0000 0.5000 0.0000
Ru 0.2500 0.2500 0.7500
Ru 0.2500 0.7500 0.2500
Ru 0.5000 0.0000 0.0000
Ru 0.5000 0.5000 0.5000
Ru 0.7500 0.2500 0.2500
Ru 0.7500 0.7500 0.7500

9.
TaBeRu3: optimized geometry, PBE-GGA.

Summary:
ΔE_f = 1.78 eV/atom
Distance to the lowest polymorph of the same formula = 1775 meV per atom
SG = Pm-3m (221)
Total DFT energy (no corrections) = -6.897 eV/atom

a b c (Å): 4.6989 4.6989 4.6989
angles (deg): 90.00 90.00 90.00
Atoms (fractional coordinates):
Ta 0.0000 0.0000 0.0000
Be 0.5000 0.5000 0.5000
Ru 0.0000 0.0000 0.5000
Ru 0.0000 0.5000 0.0000
Ru 0.5000 0.0000 0.0000

10.
TaBe8Ru3: optimized geometry, PBE-GGA.

Summary:
ΔE_f = -0.41 eV/atom
SG = P3m1 (156)
Total DFT energy (no corrections) = -6.196 eV/atom

a b c (Å): 4.3953 4.3953 7.1953
angles (deg): 90.00 90.00 120.00
Atoms (fractional coordinates):
Ta 0.0000 0.0000 0.0000
Be 0.1656 0.3312 0.6771
Be 0.1656 0.8344 0.6771
Be 0.3333 0.6667 0.4388
Be 0.3333 0.6667 0.9325
Be 0.5031 0.0062 0.1983
Be 0.5031 0.4969 0.1983
Be 0.6688 0.8344 0.6771
Be 0.9938 0.4969 0.1983
Ru 0.0000 0.0000 0.3653
Ru 0.6667 0.3333 0.4983
Ru 0.6667 0.3333 0.8828

11.
TaBeRu2: optimized geometry, PBE-GGA.

Summary:
ΔE_f = -0.33 eV/atom
SG = P4/mmm (123)
Total DFT energy (no corrections) = -8.863 eV/atom

a b c (Å): 4.1846 4.1846 3.1559
angles (deg): 90.00 90.00 90.00
Atoms (fractional coordinates):
Ta 0.0000 0.0000 0.0000
Be 0.5000 0.5000 0.0000
Ru 0.0000 0.5000 0.5000
Ru 0.5000 0.0000 0.5000

12.
Ta3Be8Ru: optimized geometry, PBE-GGA.

Summary:
ΔE_f = -0.34 eV/atom
SG = P3m1 (156)
Total DFT energy (no corrections) = -6.558 eV/atom

a b c (Å): 4.5300 4.5300 7.4086
angles (deg): 90.00 90.00 120.00
Atoms (fractional coordinates):
Ta 0.0000 0.0000 0.0000
Ta 0.0000 0.0000 0.3751
Ta 0.3333 0.6667 0.8594
Be 0.0058 0.5029 0.1841
Be 0.3278 0.1639 0.6809
Be 0.4971 0.5029 0.1841
Be 0.4971 0.9942 0.1841
Be 0.6667 0.3333 0.4315
Be 0.6667 0.3333 0.9288
Be 0.8361 0.1639 0.6809
Be 0.8361 0.6722 0.6809
Ru 0.3333 0.6667 0.4981

13.
Ta2TiBe2Ru5: optimized geometry, PBE-GGA.

Summary:
ΔE_f = -0.48 eV/atom
SG = P4/mbm (127)
Total DFT energy (no corrections) = -9.020 eV/atom

a b c (Å): 9.3187 9.3187 3.1255
angles (deg): 90.00 90.00 90.00
Atoms (fractional coordinates):
Ta 0.1746 0.3254 0.0000
Ta 0.3254 0.8254 0.0000
Ta 0.6746 0.1746 0.0000
Ta 0.8254 0.6746 0.0000
Ti 0.0000 0.0000 0.0000
Ti 0.5000 0.5000 0.0000
Be 0.1230 0.6230 0.0000
Be 0.3770 0.1230 0.0000
Be 0.6230 0.8770 0.0000
Be 0.8770 0.3770 0.0000
Ru 0.0000 0.5000 0.5000
Ru 0.0734 0.7917 0.5000
Ru 0.2083 0.0734 0.5000
Ru 0.2917 0.5734 0.5000
Ru 0.4266 0.2917 0.5000
Ru 0.5000 0.0000 0.5000
Ru 0.5734 0.7083 0.5000
Ru 0.7083 0.4266 0.5000
Ru 0.7917 0.9266 0.5000
Ru 0.9266 0.2083 0.5000

14.
TaBeTl2Ru: optimized geometry, PBE-GGA.

Summary:
ΔE_f = 1.04 eV/atom
SG = P4/mmm (123)
Total DFT energy (no corrections) = -4.877 eV/atom

a b c (Å): 4.7308 4.7308 4.1201
angles (deg): 90.00 90.00 90.00
Atoms (fractional coordinates):
Ta 0.0000 0.0000 0.0000
Be 0.5000 0.5000 0.5000
Tl 0.0000 0.5000 0.5000
Tl 0.5000 0.0000 0.5000
Ru 0.5000 0.5000 0.0000

15.
TaBeVRu2: optimized geometry, PBE-GGA.

Summary:
ΔE_f = 1.67 eV/atom
SG = P4/mmm (123)
Total DFT energy (no corrections) = -6.975 eV/atom

a b c (Å): 4.6425 4.6425 4.4037
angles (deg): 90.00 90.00 90.00
Atoms (fractional coordinates):
Ta 0.0000 0.0000 0.0000
Be 0.0000 0.0000 0.5000
V 0.5000 0.5000 0.5000
Ru 0.0000 0.5000 0.0000
Ru 0.5000 0.0000 0.0000

16.
TaBe2V2Ru5: optimized geometry, PBE-GGA.

Summary:
ΔE_f = -0.22 eV/atom
SG = P4/mbm (127)
Total DFT energy (no corrections) = -8.614 eV/atom

a b c (Å): 9.2774 9.2774 3.0963
angles (deg): 90.00 90.00 90.00
Atoms (fractional coordinates):
Ta 0.0000 0.0000 0.0000
Ta 0.5000 0.5000 0.0000
Be 0.1206 0.3794 0.0000
Be 0.3794 0.8794 0.0000
Be 0.6206 0.1206 0.0000
Be 0.8794 0.6206 0.0000
V 0.1739 0.6739 0.0000
V 0.3261 0.1739 0.0000
V 0.6739 0.8261 0.0000
V 0.8261 0.3261 0.0000
Ru 0.0000 0.5000 0.5000
Ru 0.0817 0.2086 0.5000
Ru 0.2086 0.9183 0.5000
Ru 0.2914 0.4183 0.5000
Ru 0.4183 0.7086 0.5000
Ru 0.5000 0.0000 0.5000
Ru 0.5817 0.2914 0.5000
Ru 0.7086 0.5817 0.5000
Ru 0.7914 0.0817 0.5000
Ru 0.9183 0.7914 0.5000

17.
TaBe2Ru5W2: optimized geometry, PBE-GGA.

Summary:
ΔE_f = -0.21 eV/atom
SG = P4/mbm (127)
Total DFT energy (no corrections) = -9.365 eV/atom

a b c (Å): 9.4176 9.4176 3.0465
angles (deg): 90.00 90.00 90.00
Atoms (fractional coordinates):
Ta 0.0000 0.0000 0.0000
Ta 0.5000 0.5000 0.0000
Be 0.1209 0.3791 0.0000
Be 0.3791 0.8791 0.0000
Be 0.6209 0.1209 0.0000
Be 0.8791 0.6209 0.0000
Ru 0.0000 0.5000 0.5000
Ru 0.0719 0.2127 0.5000
Ru 0.2127 0.9281 0.5000
Ru 0.2873 0.4281 0.5000
Ru 0.4281 0.7127 0.5000
Ru 0.5000 0.0000 0.5000
Ru 0.5719 0.2873 0.5000
Ru 0.7127 0.5719 0.5000
Ru 0.7873 0.0719 0.5000
Ru 0.9281 0.7873 0.5000
W 0.1753 0.6753 0.0000
W 0.3247 0.1753 0.0000
W 0.6753 0.8247 0.0000
W 0.8247 0.3247 0.0000

18.
TaBeZn2Ru: optimized geometry, PBE-GGA.

Summary:
ΔE_f = 0.59 eV/atom
SG = P4/mmm (123)
Total DFT energy (no corrections) = -4.892 eV/atom

a b c (Å): 4.0443 4.0443 4.5124
angles (deg): 90.00 90.00 90.00
Atoms (fractional coordinates):
Ta 0.0000 0.0000 0.0000
Be 0.0000 0.0000 0.5000
Zn 0.0000 0.5000 0.5000
Zn 0.5000 0.0000 0.5000
Ru 0.5000 0.5000 0.0000

19.
Zr2TaBeRu: optimized geometry, PBE-GGA.

Summary:
ΔE_f = 1.39 eV/atom
SG = P4/mmm (123)
Total DFT energy (no corrections) = -7.002 eV/atom

a b c (Å): 5.0236 5.0236 4.3448
angles (deg): 90.00 90.00 90.00
Atoms (fractional coordinates):
Zr 0.0000 0.5000 0.0000
Zr 0.5000 0.0000 0.0000
Ta 0.0000 0.0000 0.0000
Be 0.0000 0.0000 0.5000
Ru 0.5000 0.5000 0.5000

20.
TbBe17Ru: optimized geometry, PBE-GGA.

Summary:
ΔE_f = -0.10 eV/atom
SG = R3m (160)
Total DFT energy (no corrections) = -4.168 eV/atom

a b c (Å): 5.6510 5.6510 5.6510
angles (deg): 83.12 83.12 83.12
Atoms (fractional coordinates):
Tb 0.0000 0.0000 0.0000
Be 0.0096 0.0096 0.4922
Be 0.0096 0.4922 0.0096
Be 0.1532 0.6617 0.6617
Be 0.3184 0.3184 0.7925
Be 0.3184 0.7925 0.3184
Be 0.3705 0.6494 0.9537
Be 0.3705 0.9537 0.6494
Be 0.4922 0.0096 0.0096
Be 0.5568 0.5568 0.5568
Be 0.6494 0.3705 0.9537
Be 0.6494 0.9537 0.3705
Be 0.6617 0.1532 0.6617
Be 0.6617 0.6617 0.1532
Be 0.7500 0.7500 0.7500
Be 0.7925 0.3184 0.3184
Be 0.9537 0.3705 0.6494
Be 0.9537 0.6494 0.3705
Ru 0.3323 0.3323 0.3323